Material: CeDy2Er4
Method: DFT, PBE-GGA
State: optimized geometry

Output
Energy (eV/f.u.): -31.904
Total magnetization (μB per atom): 0.146
Space group: Cmmm
ρ (g/cm³): 8.38
ΔH_f (0 K) (kJ per mole of atoms): 20.5

abc: 11.3628 11.3628 5.5781
angles: 90.00 90.00 161.82
Element x y z (fractional)
Ce: 0.0000 0.0000 0.0000
Dy: 0.4306 0.5694 0.5000
Dy: 0.5694 0.4306 0.5000
Er: 0.1920 0.8080 0.5000
Er: 0.3295 0.6705 0.0000
Er: 0.6705 0.3295 0.0000
Er: 0.8080 0.1920 0.5000